Below is an optimized crystal structure of Ce2PrY3P6, with properties calculated at the PBE level.

Summary:
**Total magnetic moment**: 1.80 Bohr magnetons per cell
**Formation enthalpy at 0 K**: -18.84 eV/f.u.
**ρ**: 5.08 g cm⁻³
**Fermi-level density of states**: 20.4 states/eV per cell

```
data_Ce2PrY3P6
_chemical_formula_sum 'Ce4 Pr2 Y6 P12'
_cell_length_a 7.054
_cell_length_b 12.217
_cell_length_c 7.033
_cell_angle_alpha 90.00
_cell_angle_beta 109.53
_cell_angle_gamma 90.00
_symmetry_space_group_name_H-M 'C 1 2/m 1'
_symmetry_Int_Tables_number 12
loop_
_symmetry_equiv_pos_as_xyz
'x,y,z'
'-x,-y,-z'
'-x,y,-z'
'x,-y,z'
'x+1/2,y+1/2,z'
'-x+1/2,-y+1/2,-z'
'-x+1/2,y+1/2,-z'
'x+1/2,-y+1/2,z'
loop_
_atom_site_label
_atom_site_fract_x
_atom_site_fract_y
_atom_site_fract_z
Ce1 0.000 0.167 0.000
Pr1 0.000 0.500 0.000
Y1 0.000 0.000 0.500
Y2 0.000 0.335 0.500
P1 0.245 0.170 0.746
P2 0.246 0.000 0.255
```

Below is an optimized crystal structure of Tl2In2Hg15, with properties calculated at the PBE level.

Summary:
**Total magnetic moment**: 0.00 Bohr magnetons per cell
**Formation enthalpy at 0 K**: 0.51 eV/f.u.
**ρ**: 11.10 g cm⁻³
**Fermi-level density of states**: 18.2 states/eV per cell

```
data_Tl2In2Hg15
_chemical_formula_sum 'Tl6 In6 Hg45'
_cell_length_a 9.5936
_cell_length_b 9.5936
_cell_length_c 20.5424
_cell_angle_alpha 90.00
_cell_angle_beta 90.00
_cell_angle_gamma 120.00
_symmetry_space_group_name_H-M 'R -3 m'
_symmetry_Int_Tables_number 166
_symmetry_space_group_name_Hall '-R 3 2"'
loop_
_atom_site_label
_atom_site_fract_x
_atom_site_fract_y
_atom_site_fract_z
Tl1 0.0000 0.0000 0.2107
In1 0.0000 0.0000 0.4103
Hg1 0.0000 0.3101 0.5000
Hg2 0.0000 0.5000 0.0000
Hg3 0.0676 0.5338 0.6169
```

Below is an optimized crystal structure of CuSiCl2, with properties calculated at the PBE level.

Summary:
**Total magnetic moment**: 1.89 Bohr magnetons per cell
**Relative energy among the computed polymorphs**: 585 meV/atom
**ρ**: 3.02 g cm⁻³
**Uncorrected formation energy**: 0.27 eV/atom
**Fermi-level density of states**: 2.4 states/eV per cell

```
data_CuSiCl2
_chemical_formula_sum 'Cu2 Si2 Cl4'
_cell_length_a 3.621
_cell_length_b 3.621
_cell_length_c 13.646
_cell_angle_alpha 90.00
_cell_angle_beta 90.00
_cell_angle_gamma 90.00
_symmetry_space_group_name_H-M 'I -4 m 2'
_symmetry_Int_Tables_number 119
_symmetry_space_group_name_Hall 'I -4 -2'
loop_
_atom_site_label
_atom_site_fract_x
_atom_site_fract_y
_atom_site_fract_z
Cu1 0.000 0.000 0.000
Si1 0.000 0.500 0.750
Cl1 0.000 0.000 0.500
Cl2 0.000 0.500 0.250
```

Below is an optimized crystal structure of NaCaY2Nb, with properties calculated at the PBE level.

Summary:
**Total magnetic moment**: 0.00 Bohr magnetons per cell
**Formation enthalpy at 0 K**: 6.71 eV/f.u.
**ρ**: 3.53 g cm⁻³
**Fermi-level density of states**: 9.1 states/eV per cell

```
data_NaCaY2Nb
_chemical_formula_sum 'Na1 Ca1 Y2 Nb1'
_cell_length_a 5.463
_cell_length_b 5.463
_cell_length_c 5.260
_cell_angle_alpha 90.00
_cell_angle_beta 90.00
_cell_angle_gamma 90.00
_symmetry_space_group_name_H-M 'P 4/m m m'
_symmetry_Int_Tables_number 123
_symmetry_space_group_name_Hall '-P 4 2'
loop_
_atom_site_label
_atom_site_fract_x
_atom_site_fract_y
_atom_site_fract_z
Na1 0.000 0.000 0.000
Ca1 0.000 0.000 0.500
Y1 0.000 0.500 0.000
Nb1 0.500 0.500 0.500
```

Below is an optimized crystal structure of SrSbIr2, with properties calculated at the PBE level.

Summary:
**Total magnetic moment**: 0.00 Bohr magnetons per cell
**ρ**: 12.07 g cm⁻³
**Uncorrected formation energy**: 0.06 eV/atom
**Fermi-level density of states**: 3.0 states/eV per cell

```
data_SrSbIr2
_chemical_formula_sum 'Sr1 Sb1 Ir2'
_cell_length_a 3.223
_cell_length_b 3.223
_cell_length_c 7.865
_cell_angle_alpha 90.00
_cell_angle_beta 90.00
_cell_angle_gamma 90.00
_symmetry_space_group_name_H-M 'P 4/m m m'
_symmetry_Int_Tables_number 123
_symmetry_space_group_name_Hall '-P 4 2'
loop_
_atom_site_label
_atom_site_fract_x
_atom_site_fract_y
_atom_site_fract_z
Sr1 0.000 0.000 0.000
Sb1 0.000 0.000 0.500
Ir1 0.500 0.500 0.301
```

Below is an optimized crystal structure of Li2Ca2Co, with properties calculated at the PBE level.

Summary:
**Total magnetic moment**: 2.04 Bohr magnetons per cell
**Formation enthalpy at 0 K**: 1.68 eV/f.u.
**ρ**: 2.15 g cm⁻³
**Fermi-level density of states**: 5.1 states/eV per cell

```
data_Li2Ca2Co
_chemical_formula_sum 'Li4 Ca4 Co2'
_cell_length_a 7.023
_cell_length_b 7.023
_cell_length_c 4.798
_cell_angle_alpha 90.00
_cell_angle_beta 90.00
_cell_angle_gamma 90.00
_symmetry_space_group_name_H-M 'P 4/m b m'
_symmetry_Int_Tables_number 127
_symmetry_space_group_name_Hall '-P 4 2ab'
loop_
_atom_site_label
_atom_site_fract_x
_atom_site_fract_y
_atom_site_fract_z
Li1 0.135 0.365 0.000
Ca1 0.190 0.690 0.500
Co1 0.000 0.000 0.000
```

Below is an optimized crystal structure of Cs3Pm5Br12, with properties calculated at the PBE level.

Summary:
**Total magnetic moment**: 48.30 Bohr magnetons per cell
**ρ**: 4.00 g cm⁻³
**Uncorrected formation energy**: -1.38 eV/atom
**Fermi-level density of states**: 137.2 states/eV per cell

```
data_Cs3Pm5Br12
_chemical_formula_sum 'Cs24 Pm40 Br96'
_cell_length_a 19.052
_cell_length_b 19.052
_cell_length_c 19.052
_cell_angle_alpha 90.00
_cell_angle_beta 90.00
_cell_angle_gamma 90.00
_symmetry_space_group_name_H-M 'I a -3 d'
_symmetry_Int_Tables_number 230
_symmetry_space_group_name_Hall '-I 4bd 2c 3'
loop_
_atom_site_label
_atom_site_fract_x
_atom_site_fract_y
_atom_site_fract_z
Cs1 0.000 0.250 0.125
Pm1 0.000 0.000 0.000
Pm2 0.000 0.250 0.375
Br1 0.032 0.052 0.643
```

Below is an optimized crystal structure of Na2RePRh, with properties calculated at the PBE level.

Summary:
**Total magnetic moment**: 1.96 Bohr magnetons per cell
**Formation enthalpy at 0 K**: 4.80 eV/f.u.
**ρ**: 5.65 g cm⁻³
**Fermi-level density of states**: 5.7 states/eV per cell

```
data_Na2RePRh
_chemical_formula_sum 'Na2 Re1 P1 Rh1'
_cell_length_a 4.904
_cell_length_b 4.904
_cell_length_c 4.475
_cell_angle_alpha 90.00
_cell_angle_beta 90.00
_cell_angle_gamma 90.00
_symmetry_space_group_name_H-M 'P 4/m m m'
_symmetry_Int_Tables_number 123
_symmetry_space_group_name_Hall '-P 4 2'
loop_
_atom_site_label
_atom_site_fract_x
_atom_site_fract_y
_atom_site_fract_z
Na1 0.000 0.500 0.000
Re1 0.000 0.000 0.500
P1 0.000 0.000 0.000
Rh1 0.500 0.500 0.500
```

- Which formula does entry 4 have?
  NaCaY2Nb